DFT (GGA-PBE) results for a geometry-optimized MoIrRu2 structure.

## Properties
DFT formation energy, kcal/mol of atoms: 1.052
Volume, Å³/atom: 14.57
Calculated density, g/cm3: 13.97
Final energy, eV per atom: -9.515
Fermi-level density of states, states/eV per atom: 1.189

Cell lengths 9.095, 9.095, 9.095 Å; angles 17.33, 17.33, 17.33 degrees
Fractional positions:
Ir (0.501, 0.501, 0.501)
Mo (0.750, 0.750, 0.750)
Ru (0.998, 0.998, 0.998)
Ru (0.251, 0.251, 0.251)

=====

DFT (GGA-PBE) results for a geometry-optimized KTl4In structure.

## Properties
DFT formation energy, kcal/mol of atoms: 0.051
Volume, Å³/atom: 33.48
Calculated density, g/cm3: 8.03
Final energy, eV per atom: -2.215
Fermi-level density of states, states/eV per atom: 0.485

Cell lengths 6.574, 6.574, 6.574 Å; angles 60.00, 60.00, 60.00 degrees
Fractional positions:
In (0.250, 0.250, 0.250)
K (0.000, 0.000, 0.000)
Tl (0.127, 0.624, 0.624)
Tl (0.624, 0.624, 0.624)
Tl (0.624, 0.127, 0.624)
Tl (0.624, 0.624, 0.127)